No. 1
DFT (PBE) results for a relaxed Na2ZnFeI crystal.

abc: 5.8399 6.6287 5.8399
angles: 90.00 90.00 90.00
Closest atoms and distances in Å follow each position.
Element x y z (fractional)
I: 0.0000 0.0000 0.0000  4 Na 2.92
Na: 0.0000 0.0000 0.5000  2 I 2.92
Na: 0.5000 0.0000 0.0000  2 I 2.92
Zn: 0.0000 0.5000 0.0000  2 I 3.31
Fe: 0.5000 0.5000 0.5000  4 Zn 4.13, 8 Na 4.42

Values from the calculation:
Final energy (eV/atom): -2.09
Calculated volume (Å³/cell): 226.1
Energy relative to the elements, uncorrected (eV/atom): 0.70
Distance to the lowest polymorph of the same formula (eV/atom): 0.152
Space-group type: No. 123


No. 2
DFT (PBE) results for a relaxed Na2ZnFeI crystal.

abc: 5.9362 4.9883 5.9362
angles: 90.00 90.00 90.00
Closest atoms and distances in Å follow each position.
Element x y z (fractional)
I: 0.0000 0.0000 0.0000  2 Fe 2.49
Na: 0.0000 0.0000 0.5000  2 I 2.97
Na: 0.5000 0.0000 0.0000  2 I 2.97
Zn: 0.5000 0.5000 0.5000  8 Na 3.88, 4 Fe 4.20
Fe: 0.0000 0.5000 0.0000  2 I 2.49

Values from the calculation:
Final energy (eV/atom): -2.24
Calculated volume (Å³/cell): 175.8
Energy relative to the elements, uncorrected (eV/atom): 0.55
Distance to the lowest polymorph of the same formula (eV/atom): 0.000
Space-group type: No. 123


No. 3
DFT (PBE) results for a relaxed NbFe2I8 crystal.

abc: 6.6850 8.5156 8.5156
angles: 80.32 87.79 87.79
Closest atoms and distances in Å follow each position.
Element x y z (fractional)
Nb: 0.0000 0.0000 0.0000  6 I 2.84-2.86
Fe: 0.6576 0.8223 0.8223  4 I 2.52-2.63
Fe: 0.3424 0.1777 0.1777  4 I 2.52-2.63
I: 0.2220 0.2815 0.8949  1 Fe 2.57, 1 Nb 2.86
I: 0.7780 0.1051 0.7185  1 Fe 2.57, 1 Nb 2.86
I: 0.2636 0.8218 0.8218  1 Fe 2.63, 1 Nb 2.84
I: 0.7364 0.1782 0.1782  1 Fe 2.63, 1 Nb 2.84
I: 0.2220 0.8949 0.2815  1 Fe 2.57, 1 Nb 2.86
I: 0.7780 0.7185 0.1051  1 Fe 2.57, 1 Nb 2.86
I: 0.7523 0.6328 0.6328  1 Fe 2.52
I: 0.2477 0.3672 0.3672  1 Fe 2.52

Values from the calculation:
Final energy (eV/atom): -3.85
Calculated volume (Å³/cell): 477.3
Energy relative to the elements, uncorrected (eV/atom): -0.27
Space-group type: No. 12


No. 4
DFT (PBE) results for a relaxed Nb2FeI crystal.

abc: 4.6141 4.6141 4.6141
angles: 60.00 60.00 60.00
Closest atoms and distances in Å follow each position.
Element x y z (fractional)
I: 0.5000 0.5000 0.5000  8 Nb 2.83
Nb: 0.2500 0.2500 0.2500  4 I 2.83, 4 Fe 2.83
Nb: 0.7500 0.7500 0.7500  4 I 2.83, 4 Fe 2.83
Fe: 0.0000 0.0000 0.0000  8 Nb 2.83

Values from the calculation:
Final energy (eV/atom): -6.82
Calculated volume (Å³/cell): 69.5
Energy relative to the elements, uncorrected (eV/atom): 0.72
Distance to the lowest polymorph of the same formula (eV/atom): 0.000
Space-group type: No. 225


No. 5
DFT (PBE) results for a relaxed Nb2FeI crystal.

abc: 5.7735 5.7735 7.2639
angles: 66.58 66.58 90.00
Closest atoms and distances in Å follow each position.
Element x y z (fractional)
I: 0.0000 0.0000 0.0000  4 Nb 2.83
I: 0.7500 0.2500 0.5000  4 Nb 2.83
Nb: 0.5426 0.1250 0.2500  2 Fe 2.30
Nb: 0.2074 0.6250 0.2500  2 Fe 2.30
Nb: 0.3750 0.4574 0.7500  2 Fe 2.30
Nb: 0.8750 0.7926 0.7500  2 Fe 2.30
Fe: 0.5000 0.5000 0.0000  4 Nb 2.30
Fe: 0.2500 0.7500 0.5000  4 Nb 2.30

Values from the calculation:
Final energy (eV/atom): -6.57
Calculated volume (Å³/cell): 200.3
Energy relative to the elements, uncorrected (eV/atom): 0.97
Distance to the lowest polymorph of the same formula (eV/atom): 0.249
Space-group type: No. 122


No. 6
DFT (PBE) results for a relaxed NbFeI crystal.

abc: 3.4881 3.5750 11.6046
angles: 90.00 90.00 119.20
Closest atoms and distances in Å follow each position.
Element x y z (fractional)
Fe: 0.3106 0.6212 0.0000  4 I 2.72
Fe: 0.4635 0.9270 0.5000  6 Nb 2.47-2.54
I: 0.8192 0.6384 0.8197  2 Fe 2.72, 1 Nb 2.98
I: 0.8192 0.6384 0.1803  2 Fe 2.72, 1 Nb 2.98
Nb: 0.1270 0.2541 0.3771  3 Fe 2.47-2.54
Nb: 0.1270 0.2541 0.6229  3 Fe 2.47-2.54

Values from the calculation:
Final energy (eV/atom): -6.18
Calculated volume (Å³/cell): 126.3
Energy relative to the elements, uncorrected (eV/atom): 0.51
Space-group type: No. 38


No. 7
DFT (PBE) results for a relaxed Nb2FeNiI crystal.

abc: 5.0321 4.4684 5.0321
angles: 90.00 90.00 90.00
Closest atoms and distances in Å follow each position.
Element x y z (fractional)
I: 0.0000 0.0000 0.0000  2 Fe 2.23
Ni: 0.5000 0.5000 0.5000  8 Nb 3.36, 4 Fe 3.56
Nb: 0.0000 0.0000 0.5000  2 I 2.52
Nb: 0.5000 0.0000 0.0000  2 I 2.52
Fe: 0.0000 0.5000 0.0000  2 I 2.23

Values from the calculation:
Final energy (eV/atom): -5.30
Calculated volume (Å³/cell): 113.2
Energy relative to the elements, uncorrected (eV/atom): 1.88
Space-group type: No. 123